The following is a PBE calculation of a relaxed SmSn2Cl8 crystal, from Alexandria via LeMat-Bulk.

Properties
Magnetization in μB per cell: 0.000
Energy relative to the elements, uncorrected in eV per formula unit: -14.56
Total energy in eV per atom: -3.823
Symmetry: C2/m (12)
D(E_F) in states/eV/atom: 0.560
ρ in g/cm³: 3.06

Cell: 6.815 7.471 7.471 Å, 84.57 78.55 78.55°
Sites, in units of the cell vectors:
Sn1 0.510 0.305 0.305
Sm1 0.000 0.000 0.000
Cl1 0.257 0.026 0.669
Sn2 0.490 0.695 0.695
Cl2 0.245 0.548 0.548
Cl3 0.743 0.331 0.974
Cl4 0.765 0.842 0.842
Cl5 0.235 0.158 0.158
Cl6 0.743 0.974 0.331
Cl7 0.755 0.452 0.452
Cl8 0.257 0.669 0.026